Below is a relaxed ThHgF6 crystal, with properties calculated at the PBE level.

The space group is C2/m (No. 12) and the conventional cell measures 5.964, 5.769 and 7.579 Å, with angles of 90.00, 106.82 and 90.00 degrees. The inequivalent atoms are Th at (0.000, 0.000, 0.000), Hg at (0.000, 0.500, 0.500), F at (0.148, 0.000, 0.383) and F at (0.161, 0.268, 0.838).

Its uncorrected formation energy is -24.325 eV/f.u. Its spin magnetization is 0.00 Bohr magnetons per cell.